First-principles (PBE with a Hubbard U) data for a geometry-optimized InCoAsO structure, as listed in OQMD via LeMat-Bulk.

relative energy among the computed polymorphs = 0.0 meV per atom
volume = 18.93 Å³ per atom

a = 3.761 Å, b = 6.575 Å, c = 6.125 Å
α = 90.00°, β = 90.00°, γ = 90.00°
Fractional positions:
In1 0.000 0.189 0.000
In2 0.000 0.811 0.500
Co1 0.500 0.390 0.589
Co2 0.500 0.610 0.089
As1 0.000 0.209 0.434
As2 0.000 0.791 0.934
O1 0.500 0.351 0.915
O2 0.500 0.649 0.415